Crystalline KCeI2 at its relaxed geometry, computed with PBE.

a = 4.2309 Å, b = 4.2309 Å, c = 11.7749 Å
α = 79.65°, β = 79.65°, γ = 60.00°
Fractional positions:
K 0.0000 0.0000 0.0000
Ce 0.5000 0.5000 0.5000
I 0.1048 0.1048 0.6855
I 0.8952 0.8952 0.3145

DFT total energy = -13.86 eV per cell
Total magnetic moment = 1.765 μB per formula unit
Energy relative to the elements, uncorrected = -0.932 eV per atom
Symmetry = R-3m (166)
Relative energy among the computed polymorphs = 0.408 kcal/mol of atoms